! PrNdUN3 (PBE, relaxed); values from VASP
&SYSTEM
  ibrav = 0, nat = 12, ntyp = 4
/
ATOMIC_SPECIES
Pr 140.91 Pr.upf
Nd 144.24 Nd.upf
U 238.03 U.upf
N 14.01 N.upf
ATOMIC_POSITIONS crystal
Pr 0.1598 0.2500 0.1293
Pr 0.8402 0.7500 0.8707
Nd 0.3821 0.7500 0.8424
Nd 0.6179 0.2500 0.1576
U 0.0620 0.2500 0.5950
U 0.9380 0.7500 0.4050
N 0.0997 0.2500 0.8438
N 0.2119 0.7500 0.5827
N 0.3845 0.7500 0.1178
N 0.6155 0.2500 0.8822
N 0.7881 0.2500 0.4173
N 0.9003 0.7500 0.1562
CELL_PARAMETERS angstrom
7.5077 0.0000 0.0000
0.0000 3.7105 0.0000
-0.9272 0.0000 8.7194
! symmetry: P2_1/m, No. 11
! E_form (uncorrected): -1.02 eV per atom
! V: 243 Å³/cell
! E: -103.8 eV per cell
! total magnetization: 0.00 μB/atom



! CrIrRu4Rh2 (PBE, relaxed); values from VASP
&SYSTEM
  ibrav = 0, nat = 8, ntyp = 4
/
ATOMIC_SPECIES
Cr 52.00 Cr.upf
Ir 192.22 Ir.upf
Ru 101.07 Ru.upf
Rh 102.91 Rh.upf
ATOMIC_POSITIONS crystal
Cr 0.0000 0.0000 0.0000
Ir 0.5000 0.5000 0.0000
Ru 0.0000 0.5000 0.2458
Ru 0.0000 0.5000 0.7542
Ru 0.5000 0.0000 0.2452
Ru 0.5000 0.0000 0.7548
Rh 0.0000 0.0000 0.5000
Rh 0.5000 0.5000 0.5000
CELL_PARAMETERS angstrom
3.7938 0.0000 0.0000
0.0000 3.8047 0.0000
0.0000 0.0000 7.6618
! symmetry: Pmmm, No. 47
! V: 111 Å³/cell
! E: -70.2 eV per cell
! total magnetization: 0.06 μB/atom
! calculated formation energy: 0.0 eV/f.u.